Record 1
Computed, not measured: a relaxed structure of ZrTl2Ag2 at the GGA-PBE level of DFT.

Cell lengths 8.326, 8.326, 3.246 Å; angles 90.00, 90.00, 90.00 degrees
Sites, in units of the cell vectors:
Zr 0.000 0.000 0.000
Zr 0.500 0.500 0.000
Tl 0.147 0.353 0.000
Tl 0.353 0.853 0.000
Tl 0.647 0.147 0.000
Tl 0.853 0.647 0.000
Ag 0.154 0.654 0.500
Ag 0.346 0.154 0.500
Ag 0.654 0.846 0.500
Ag 0.846 0.346 0.500

* excess energy over the best structure of this formula in the dataset: 0.07 eV/f.u.
* crystal system: tetragonal

---

Record 2
Computed, not measured: a relaxed structure of Zr2TlAg at the GGA-PBE level of DFT.

Cell lengths 5.763, 5.763, 5.206 Å; angles 112.19, 112.19, 33.32 degrees
Sites, in units of the cell vectors:
Zr 0.000 0.000 0.000
Zr 0.248 0.248 0.833
Tl 0.483 0.483 0.484
Ag 0.742 0.742 0.334

* crystal system: monoclinic

---

Record 3
Computed, not measured: a relaxed structure of Zr2TlAg at the GGA-PBE level of DFT.

Cell lengths 3.177, 3.177, 8.502 Å; angles 90.00, 90.00, 90.00 degrees
Sites, in units of the cell vectors:
Zr 0.000 0.000 0.240
Zr 0.000 0.000 0.760
Tl 0.500 0.500 0.500
Ag 0.500 0.500 0.000

* crystal system: tetragonal

---

Asked for calculated formation energy across the records above, the calculation gives 23; -1; -4 kJ per mole of atoms in order.
Asked for size of the total moment across the records above, the calculation gives 0.00; 0.00; 0.00 μB per cell in order.
Asked for density of states at the Fermi level across the records above, the calculation gives 6.0; 3.4; 3.0 states/eV/cell in order.